1.
ReSbAs2 | PBEsol | optimized geometry

Lattice parameters (Å, degrees): 3.038 3.038 8.356 90.00 90.00 90.00
Fractional coordinates of all 4 atoms:
Re  0.000  0.000  0.000
Sb  0.000  0.000  0.500
As  0.500  0.500  0.180
As  0.500  0.500  0.820

Calculated values
final energy	-6.89	eV/atom
raw formation energy	0.13	eV/atom



2.
Cs2NaAgS | PBEsol | optimized geometry

Lattice parameters (Å, degrees): 6.653 6.653 4.763 90.00 90.00 90.00
Fractional coordinates of all 5 atoms:
Cs  0.000  0.500  0.000
Cs  0.500  0.000  0.000
Na  0.000  0.000  0.000
Ag  0.500  0.500  0.500
S  0.000  0.000  0.500

Calculated values
final energy	-2.42	eV/atom
raw formation energy	-0.23	eV/atom



Q: What is the final energy in the second record?
A: -2.42 eV/atom